(1)
Density functional theory data (GGA-PBE) for a relaxed structure of NiSn3Ru.

a b c (Å): 4.839 4.839 4.839
angles (deg): 90.00 90.00 90.00
Atoms (fractional coordinates):
Ni1 0.000 0.000 0.000
Sn1 0.000 0.000 0.500
Sn2 0.000 0.500 0.000
Sn3 0.500 0.000 0.000
Ru1 0.500 0.500 0.500

Energy of formation from the pure elements, meV/atom: 675
Total DFT energy (no corrections), eV/atom: -4.74
Energy relative to the lowest polymorph listed for this composition, meV/atom: 135

---

(2)
Density functional theory data (GGA-PBE) for a relaxed structure of Ni2SnRu4.

a b c (Å): 6.927 6.927 6.927
angles (deg): 139.58 139.58 58.49
Atoms (fractional coordinates):
Ni1 0.096 0.096 0.000
Ni2 0.904 0.904 0.000
Sn1 0.500 0.500 0.000
Ru1 0.000 0.500 0.500
Ru2 0.283 0.283 0.000
Ru3 0.500 0.000 0.500
Ru4 0.717 0.717 0.000

Energy of formation from the pure elements, meV/atom: 1656
Total DFT energy (no corrections), eV/atom: -5.87

---

(3)
Density functional theory data (GGA-PBE) for a relaxed structure of TbNiSnRu.

a b c (Å): 4.656 4.656 4.656
angles (deg): 60.00 60.00 60.00
Atoms (fractional coordinates):
Tb1 0.000 0.000 0.000
Ni1 0.250 0.250 0.250
Sn1 0.500 0.500 0.500
Ru1 0.750 0.750 0.750

Energy of formation from the pure elements, meV/atom: -353
Total DFT energy (no corrections), eV/atom: -6.28

---

(4)
Density functional theory data (GGA-PBE) for a relaxed structure of TiNiSnRu.

a b c (Å): 4.632 4.632 4.632
angles (deg): 127.52 127.52 77.41
Atoms (fractional coordinates):
Ti1 0.000 0.000 0.000
Ni1 0.250 0.750 0.500
Sn1 0.500 0.500 0.000
Ru1 0.750 0.250 0.500

Energy of formation from the pure elements, meV/atom: -412
Total DFT energy (no corrections), eV/atom: -7.15

---

(5)
Density functional theory data (GGA-PBE) for a relaxed structure of Zr2NiSnRu.

a b c (Å): 4.742 4.742 4.561
angles (deg): 90.00 90.00 90.00
Atoms (fractional coordinates):
Zr1 0.000 0.500 0.000
Zr2 0.500 0.000 0.000
Ni1 0.000 0.000 0.000
Sn1 0.000 0.000 0.500
Ru1 0.500 0.500 0.500

Energy of formation from the pure elements, meV/atom: 354
Total DFT energy (no corrections), eV/atom: -6.88

---

(6)
Density functional theory data (GGA-PBE) for a relaxed structure of Sr2NiRu.

a b c (Å): 8.565 8.565 8.565
angles (deg): 28.15 28.15 28.15
Atoms (fractional coordinates):
Sr1 0.000 0.000 0.000
Sr2 0.169 0.169 0.169
Ni1 0.418 0.418 0.418
Ru1 0.751 0.751 0.751

Energy of formation from the pure elements, meV/atom: 77
Total DFT energy (no corrections), eV/atom: -4.53

---

(7)
Density functional theory data (GGA-PBE) for a relaxed structure of SrNi2Ru.

a b c (Å): 4.753 4.753 2.820
angles (deg): 90.00 90.00 90.00
Atoms (fractional coordinates):
Sr1 0.000 0.000 0.000
Ni1 0.000 0.500 0.500
Ni2 0.500 0.000 0.500
Ru1 0.500 0.500 0.000

Energy of formation from the pure elements, meV/atom: 542
Total DFT energy (no corrections), eV/atom: -5.09
Energy relative to the lowest polymorph listed for this composition, meV/atom: 484

---

(8)
Density functional theory data (GGA-PBE) for a relaxed structure of SrNiRu4.

a b c (Å): 5.273 5.273 5.273
angles (deg): 60.00 60.00 60.00
Atoms (fractional coordinates):
Sr1 0.000 0.000 0.000
Ni1 0.750 0.750 0.750
Ru1 0.376 0.376 0.376
Ru2 0.376 0.376 0.872
Ru3 0.376 0.872 0.376
Ru4 0.872 0.376 0.376

Energy of formation from the pure elements, meV/atom: 654
Total DFT energy (no corrections), eV/atom: -6.77

---

(9)
Density functional theory data (GGA-PBE) for a relaxed structure of SrNiRu2.

a b c (Å): 9.146 9.146 9.146
angles (deg): 150.25 150.25 42.57
Atoms (fractional coordinates):
Sr1 0.375 0.625 0.750
Sr2 0.625 0.375 0.250
Ni1 0.125 0.875 0.250
Ni2 0.875 0.125 0.750
Ru1 0.000 0.000 0.000
Ru2 0.000 0.000 0.500
Ru3 0.000 0.500 0.000
Ru4 0.500 0.000 0.500

Energy of formation from the pure elements, meV/atom: 683
Total DFT energy (no corrections), eV/atom: -5.82
Energy relative to the lowest polymorph listed for this composition, meV/atom: 478

---

(10)
Density functional theory data (GGA-PBE) for a relaxed structure of Sr2NiRu.

a b c (Å): 9.055 9.055 9.055
angles (deg): 22.91 22.91 22.91
Atoms (fractional coordinates):
Sr1 0.250 0.250 0.250
Sr2 0.750 0.750 0.750
Ni1 0.000 0.000 0.000
Ru1 0.500 0.500 0.500

Energy of formation from the pure elements, meV/atom: 735
Total DFT energy (no corrections), eV/atom: -3.87

---

(11)
Density functional theory data (GGA-PBE) for a relaxed structure of SrNiRu2.

a b c (Å): 2.863 3.376 7.288
angles (deg): 90.00 90.00 90.00
Atoms (fractional coordinates):
Sr1 0.000 0.000 0.000
Ni1 0.000 0.000 0.500
Ru1 0.500 0.500 0.326
Ru2 0.500 0.500 0.674

Energy of formation from the pure elements, meV/atom: 584
Total DFT energy (no corrections), eV/atom: -5.92
Energy relative to the lowest polymorph listed for this composition, meV/atom: 379

---

(12)
Density functional theory data (GGA-PBE) for a relaxed structure of SrNiRu2.

a b c (Å): 5.290 5.290 2.702
angles (deg): 90.00 90.00 117.47
Atoms (fractional coordinates):
Sr1 0.000 0.000 0.000
Ni1 0.500 0.500 0.000
Ru1 0.000 0.500 0.500
Ru2 0.500 0.000 0.500

Energy of formation from the pure elements, meV/atom: 841
Total DFT energy (no corrections), eV/atom: -5.66
Energy relative to the lowest polymorph listed for this composition, meV/atom: 637